Record 1
A plane-wave DFT calculation with PBE-GGA was carried out for a geometry-optimized NdHoGePd structure.

The structure in POSCAR format:
```
NdHoGePd
1.0
-2.794 2.786 0.792
-2.177 -1.175 -3.547
-1.438 -5.078 2.564
Ge Nd Ho Pd
1 1 1 1
direct
0.577 0.500 0.154
0.141 0.000 0.282
0.864 0.500 0.728
0.418 0.000 0.837
```

Summary:
Its raw total energy is -0.2071 hartree per atom. For the formation energy, the calculation gives -0.8470 eV/atom. Its energy relative to the lowest polymorph listed for this composition is 0 meV per atom.


Record 2
A plane-wave DFT calculation with PBE-GGA was carried out for a geometry-optimized Co2AsRh structure.

The structure in POSCAR format:
```
Co2AsRh
1.0
8.016 -0.008 -0.005
7.542 2.715 -0.005
7.542 1.312 2.377
Rh As Co
1 1 2
direct
0.250 0.250 0.250
0.750 0.750 0.750
0.005 0.005 0.005
0.495 0.495 0.495
```

Summary:
Its raw total energy is -0.2356 hartree per atom. For the formation energy, the calculation gives 0.1432 eV/atom.


Record 3
A plane-wave DFT calculation with PBE-GGA was carried out for a geometry-optimized Pa2CrPd structure.

The structure in POSCAR format:
```
Pa2CrPd
1.0
-1.651 -2.518 0.554
0.301 -2.455 -1.804
6.672 -5.050 5.390
Cr Pa Pd
1 2 1
direct
0.500 0.500 0.500
0.908 0.908 0.277
0.092 0.092 0.723
0.000 0.000 0.000
```

Summary:
Its raw total energy is -0.3009 hartree per atom. For the formation energy, the calculation gives 0.2639 eV/atom.


Record 4
A plane-wave DFT calculation with PBE-GGA was carried out for a geometry-optimized Ac2TlHg4Pb structure.

The structure in POSCAR format:
```
Ac2TlHg4Pb
1.0
-1.482 -5.013 -1.721
2.802 -4.427 1.683
-5.045 -3.942 7.025
Hg Pb Ac Tl
4 1 2 1
direct
0.625 0.625 0.124
0.375 0.375 0.876
0.124 0.124 0.627
0.876 0.876 0.373
0.500 0.500 0.500
0.750 0.750 0.750
0.250 0.250 0.250
0.000 0.000 0.000
```

Summary:
Its raw total energy is -0.0858 hartree per atom. For the formation energy, the calculation gives -0.3969 eV/atom.